w) # LiZnBO3, relaxed, DFT PBE-GGA
# V = 10.3 A^3/atom
# ρ = 3.523 g/cm3
# M_tot = 0.0 Bohr magnetons per cell
data_LiZnBO3
_symmetry_space_group_name_H-M 'P 1'
_symmetry_Int_Tables_number 1
_symmetry_space_group_name_Hall 'P 1'
_cell_length_a 5.1277
_cell_length_b 5.1277
_cell_length_c 6.1836
_cell_angle_alpha 65.69
_cell_angle_beta 65.69
_cell_angle_gamma 59.79
loop_
_atom_site_label
_atom_site_type_symbol
_atom_site_fract_x
_atom_site_fract_y
_atom_site_fract_z
_atom_site_occupancy
Li1 Li 0.9466 0.7716 0.6715 1
Li2 Li 0.7716 0.9466 0.1715 1
Zn1 Zn 0.2804 0.1057 0.6706 1
Zn2 Zn 0.1057 0.2804 0.1706 1
B1 B 0.4112 0.5913 0.2553 1
B2 B 0.5913 0.4112 0.7553 1
O1 O 0.1308 0.8534 0.2750 1
O2 O 0.8534 0.1308 0.7750 1
O3 O 0.6876 0.6012 0.2172 1
O4 O 0.3978 0.3035 0.2954 1
O5 O 0.3035 0.3978 0.7954 1
O6 O 0.6012 0.6876 0.7172 1

=====

x) # LiZnBO3, relaxed, DFT PBE-GGA
# V = 13.3 A^3/atom
# ρ = 2.730 g/cm3
# M_tot = 0.0 Bohr magnetons per cell
data_LiZnBO3
_symmetry_space_group_name_H-M 'P 1'
_symmetry_Int_Tables_number 1
_symmetry_space_group_name_Hall 'P 1'
_cell_length_a 5.3902
_cell_length_b 5.4834
_cell_length_c 12.1640
_cell_angle_alpha 94.87
_cell_angle_beta 93.75
_cell_angle_gamma 63.02
loop_
_atom_site_label
_atom_site_type_symbol
_atom_site_fract_x
_atom_site_fract_y
_atom_site_fract_z
_atom_site_occupancy
Li1 Li 0.7586 0.1421 0.4946 1
Li2 Li 0.5865 0.3208 0.7206 1
Li3 Li 0.0978 0.8364 0.1520 1
Li4 Li 0.5267 0.4203 0.9712 1
Zn1 Zn 0.9091 0.6393 0.3727 1
Zn2 Zn 0.3609 0.2566 0.2042 1
Zn3 Zn 0.8642 0.6165 0.6368 1
Zn4 Zn 0.1207 0.0782 0.9508 1
B1 B 0.5257 0.9270 0.0905 1
B2 B 0.3212 0.7143 0.5552 1
B3 B 0.2939 0.0845 0.4354 1
B4 B 0.1382 0.3237 0.8303 1
O1 O 0.1562 0.6061 0.2641 1
O2 O 0.5666 0.9997 0.6176 1
O3 O 0.0266 0.2429 0.4108 1
O4 O 0.3343 0.4097 0.8367 1
O5 O 0.0631 0.7370 0.5304 1
O6 O 0.7676 0.8851 0.0368 1
O7 O 0.8225 0.1319 0.0598 1
O8 O 0.3186 0.9928 0.5593 1
O9 O 0.4122 0.7587 0.0560 1
O10 O 0.5629 0.5014 0.5746 1
O11 O 0.5394 0.9898 0.3868 1
O12 O 0.9268 0.3802 0.7527 1

=====

y) # LiZnBO3, relaxed, DFT PBE-GGA
# V = 10.8 A^3/atom
# ρ = 3.347 g/cm3
# M_tot = 0.0 Bohr magnetons per cell
data_LiZnBO3
_symmetry_space_group_name_H-M 'P 1'
_symmetry_Int_Tables_number 1
_symmetry_space_group_name_Hall 'P 1'
_cell_length_a 5.0212
_cell_length_b 5.0596
_cell_length_c 11.8670
_cell_angle_alpha 89.79
_cell_angle_beta 89.30
_cell_angle_gamma 120.28
loop_
_atom_site_label
_atom_site_type_symbol
_atom_site_fract_x
_atom_site_fract_y
_atom_site_fract_z
_atom_site_occupancy
Li1 Li 0.6243 0.6156 0.5293 1
Li2 Li 0.6169 0.6046 0.7180 1
Li3 Li 0.3528 0.3710 0.3043 1
Li4 Li 0.3766 0.3966 0.9507 1
Zn1 Zn 0.0116 0.6768 0.3361 1
Zn2 Zn 0.3080 0.9738 0.1141 1
Zn3 Zn 0.9670 0.2865 0.5844 1
Zn4 Zn 0.7192 0.0469 0.9160 1
B1 B 0.9892 0.3246 0.1316 1
B2 B 0.2961 0.9518 0.6157 1
B3 B 0.6776 0.0204 0.3713 1
B4 B 0.0359 0.7055 0.8909 1
O1 O 0.9775 0.5804 0.1695 1
O2 O 0.5582 0.9221 0.6206 1
O3 O 0.6668 0.7408 0.3751 1
O4 O 0.7568 0.6945 0.8717 1
O5 O 0.9538 0.2865 0.4011 1
O6 O 0.2907 0.9787 0.9263 1
O7 O 0.7320 0.0746 0.0887 1
O8 O 0.0044 0.6907 0.6096 1
O9 O 0.2659 0.3303 0.1366 1
O10 O 0.3273 0.2424 0.6174 1
O11 O 0.4240 0.0398 0.3426 1
O12 O 0.0622 0.4501 0.8783 1

=====

Which of them is most stable, and which least? Most stable: w); least stable: x).

=====

w) # LiBOs3, relaxed, DFT PBE-GGA
# V = 13.1 A^3/atom
# ρ = 14.906 g/cm3
# M_tot = 1.8 Bohr magnetons per cell
data_LiBOs3
_symmetry_space_group_name_H-M 'P 1'
_symmetry_Int_Tables_number 1
_symmetry_space_group_name_Hall 'P 1'
_cell_length_a 4.0321
_cell_length_b 4.0321
_cell_length_c 4.0321
_cell_angle_alpha 90.00
_cell_angle_beta 90.00
_cell_angle_gamma 90.00
loop_
_atom_site_label
_atom_site_type_symbol
_atom_site_fract_x
_atom_site_fract_y
_atom_site_fract_z
_atom_site_occupancy
B1 B 0.5000 0.5000 0.5000 1
Os1 Os 0.0000 0.5000 0.0000 1
Os2 Os 0.0000 0.0000 0.5000 1
Os3 Os 0.5000 0.0000 0.0000 1
Li1 Li 0.0000 0.0000 0.0000 1

=====

x) # LiBOs3, relaxed, DFT PBE-GGA
# V = 13.5 A^3/atom
# ρ = 14.439 g/cm3
# M_tot = 0.0 Bohr magnetons per cell
data_LiBOs3
_symmetry_space_group_name_H-M 'P 1'
_symmetry_Int_Tables_number 1
_symmetry_space_group_name_Hall 'P 1'
_cell_length_a 4.0751
_cell_length_b 4.0751
_cell_length_c 4.0751
_cell_angle_alpha 90.00
_cell_angle_beta 90.00
_cell_angle_gamma 90.00
loop_
_atom_site_label
_atom_site_type_symbol
_atom_site_fract_x
_atom_site_fract_y
_atom_site_fract_z
_atom_site_occupancy
B1 B 0.0000 0.0000 0.0000 1
Os1 Os 0.0000 0.5000 0.0000 1
Os2 Os 0.0000 0.0000 0.5000 1
Os3 Os 0.5000 0.0000 0.0000 1
Li1 Li 0.5000 0.5000 0.5000 1

=====

Which of them is most stable, and which least? Most stable: x); least stable: w).

=====

w) # Li2BP, relaxed, DFT PBE-GGA
# V = 11.4 A^3/atom
# ρ = 2.034 g/cm3
# M_tot = 0.0 Bohr magnetons per cell
data_Li2BP
_symmetry_space_group_name_H-M 'P 1'
_symmetry_Int_Tables_number 1
_symmetry_space_group_name_Hall 'P 1'
_cell_length_a 4.0054
_cell_length_b 4.0054
_cell_length_c 4.0054
_cell_angle_alpha 60.00
_cell_angle_beta 60.00
_cell_angle_gamma 60.00
loop_
_atom_site_label
_atom_site_type_symbol
_atom_site_fract_x
_atom_site_fract_y
_atom_site_fract_z
_atom_site_occupancy
P1 P 0.5000 0.5000 0.5000 1
B1 B 0.0000 0.0000 0.0000 1
Li1 Li 0.2500 0.2500 0.2500 1
Li2 Li 0.7500 0.7500 0.7500 1

=====

x) # Li2BP, relaxed, DFT PBE-GGA
# V = 10.9 A^3/atom
# ρ = 2.121 g/cm3
# M_tot = 0.0 Bohr magnetons per cell
data_Li2BP
_symmetry_space_group_name_H-M 'P 1'
_symmetry_Int_Tables_number 1
_symmetry_space_group_name_Hall 'P 1'
_cell_length_a 3.2432
_cell_length_b 3.2432
_cell_length_c 8.5969
_cell_angle_alpha 79.13
_cell_angle_beta 79.13
_cell_angle_gamma 90.00
loop_
_atom_site_label
_atom_site_type_symbol
_atom_site_fract_x
_atom_site_fract_y
_atom_site_fract_z
_atom_site_occupancy
P1 P 0.0000 0.0000 0.0000 1
P2 P 0.7500 0.2500 0.5000 1
B1 B 0.5000 0.5000 0.0000 1
B2 B 0.2500 0.7500 0.5000 1
Li1 Li 0.6141 0.1250 0.2500 1
Li2 Li 0.1359 0.6250 0.2500 1
Li3 Li 0.3750 0.3859 0.7500 1
Li4 Li 0.8750 0.8641 0.7500 1

=====

Which of them is most stable, and which least? Most stable: x); least stable: w).

=====

w) # LiB3P, relaxed, DFT PBE-GGA
# V = 11.7 A^3/atom
# ρ = 2.003 g/cm3
# M_tot = 0.0 Bohr magnetons per cell
data_LiB3P
_symmetry_space_group_name_H-M 'P 1'
_symmetry_Int_Tables_number 1
_symmetry_space_group_name_Hall 'P 1'
_cell_length_a 3.8779
_cell_length_b 3.8779
_cell_length_c 3.8779
_cell_angle_alpha 90.00
_cell_angle_beta 90.00
_cell_angle_gamma 90.00
loop_
_atom_site_label
_atom_site_type_symbol
_atom_site_fract_x
_atom_site_fract_y
_atom_site_fract_z
_atom_site_occupancy
P1 P 0.0000 0.0000 0.0000 1
B1 B 0.0000 0.5000 0.0000 1
B2 B 0.0000 0.0000 0.5000 1
B3 B 0.5000 0.0000 0.0000 1
Li1 Li 0.5000 0.5000 0.5000 1

=====

x) # LiB3P, relaxed, DFT PBE-GGA
# V = 10.3 A^3/atom
# ρ = 2.265 g/cm3
# M_tot = 0.0 Bohr magnetons per cell
data_LiB3P
_symmetry_space_group_name_H-M 'P 1'
_symmetry_Int_Tables_number 1
_symmetry_space_group_name_Hall 'P 1'
_cell_length_a 3.7225
_cell_length_b 3.7225
_cell_length_c 3.7225
_cell_angle_alpha 90.00
_cell_angle_beta 90.00
_cell_angle_gamma 90.00
loop_
_atom_site_label
_atom_site_type_symbol
_atom_site_fract_x
_atom_site_fract_y
_atom_site_fract_z
_atom_site_occupancy
P1 P 0.5000 0.5000 0.5000 1
B1 B 0.0000 0.5000 0.0000 1
B2 B 0.0000 0.0000 0.5000 1
B3 B 0.5000 0.0000 0.0000 1
Li1 Li 0.0000 0.0000 0.0000 1

=====

Which of them is most stable, and which least? Most stable: w); least stable: x).

=====

w) # LiBPS2, relaxed, DFT PBE-GGA
# V = 15.5 A^3/atom
# ρ = 2.417 g/cm3
# M_tot = 0.0 Bohr magnetons per cell
data_LiBPS2
_symmetry_space_group_name_H-M 'P 1'
_symmetry_Int_Tables_number 1
_symmetry_space_group_name_Hall 'P 1'
_cell_length_a 4.5159
_cell_length_b 4.5159
_cell_length_c 3.8018
_cell_angle_alpha 90.00
_cell_angle_beta 90.00
_cell_angle_gamma 90.00
loop_
_atom_site_label
_atom_site_type_symbol
_atom_site_fract_x
_atom_site_fract_y
_atom_site_fract_z
_atom_site_occupancy
P1 P 0.0000 0.0000 0.5000 1
S1 S 0.0000 0.5000 0.0000 1
S2 S 0.5000 0.0000 0.0000 1
B1 B 0.0000 0.0000 0.0000 1
Li1 Li 0.5000 0.5000 0.5000 1

=====

x) # LiBPS2, relaxed, DFT PBE-GGA
# V = 16.4 A^3/atom
# ρ = 2.283 g/cm3
# M_tot = 0.0 Bohr magnetons per cell
data_LiBPS2
_symmetry_space_group_name_H-M 'P 1'
_symmetry_Int_Tables_number 1
_symmetry_space_group_name_Hall 'P 1'
_cell_length_a 4.6693
_cell_length_b 3.7650
_cell_length_c 4.6693
_cell_angle_alpha 90.00
_cell_angle_beta 90.00
_cell_angle_gamma 90.00
loop_
_atom_site_label
_atom_site_type_symbol
_atom_site_fract_x
_atom_site_fract_y
_atom_site_fract_z
_atom_site_occupancy
P1 P 0.0000 0.0000 0.0000 1
S1 S 0.0000 0.0000 0.5000 1
S2 S 0.5000 0.0000 0.0000 1
B1 B 0.0000 0.5000 0.0000 1
Li1 Li 0.5000 0.5000 0.5000 1

=====

Which of them is most stable, and which least? Most stable: x); least stable: w).

=====

w) # LiB2Pd, relaxed, DFT PBE-GGA
# V = 9.3 A^3/atom
# ρ = 6.034 g/cm3
# M_tot = 0.0 Bohr magnetons per cell
data_LiB2Pd
_symmetry_space_group_name_H-M 'P 1'
_symmetry_Int_Tables_number 1
_symmetry_space_group_name_Hall 'P 1'
_cell_length_a 3.7453
_cell_length_b 3.7453
_cell_length_c 3.7453
_cell_angle_alpha 60.00
_cell_angle_beta 60.00
_cell_angle_gamma 60.00
loop_
_atom_site_label
_atom_site_type_symbol
_atom_site_fract_x
_atom_site_fract_y
_atom_site_fract_z
_atom_site_occupancy
B1 B 0.2500 0.2500 0.2500 1
B2 B 0.7500 0.7500 0.7500 1
Pd1 Pd 0.5000 0.5000 0.5000 1
Li1 Li 0.0000 0.0000 0.0000 1

=====

x) # LiB2Pd, relaxed, DFT PBE-GGA
# V = 11.7 A^3/atom
# ρ = 4.803 g/cm3
# M_tot = 0.0 Bohr magnetons per cell
data_LiB2Pd
_symmetry_space_group_name_H-M 'P 1'
_symmetry_Int_Tables_number 1
_symmetry_space_group_name_Hall 'P 1'
_cell_length_a 3.3971
_cell_length_b 3.3971
_cell_length_c 8.4369
_cell_angle_alpha 78.39
_cell_angle_beta 78.39
_cell_angle_gamma 90.00
loop_
_atom_site_label
_atom_site_type_symbol
_atom_site_fract_x
_atom_site_fract_y
_atom_site_fract_z
_atom_site_occupancy
B1 B 0.8748 0.1250 0.2500 1
B2 B 0.8752 0.6250 0.2500 1
B3 B 0.3750 0.1252 0.7500 1
B4 B 0.8750 0.1248 0.7500 1
Pd1 Pd 0.0000 0.0000 0.0000 1
Pd2 Pd 0.7500 0.2500 0.5000 1
Li1 Li 0.5000 0.5000 0.0000 1
Li2 Li 0.2500 0.7500 0.5000 1

=====

Which of them is most stable, and which least? Most stable: x); least stable: w).